Density functional theory data (GGA-PBE) for a relaxed structure of KP2RuS8.

Geometry as extended XYZ:
```
12
Lattice="5.873 0.000 0.000 -2.936 5.086 0.000 0.000 0.000 9.575" Properties=species:S:1:pos:R:3 pbc="T T T"
K 0.000 0.000 0.000
P 2.936 1.695 2.866
P 0.000 3.391 6.710
Ru 0.000 0.000 4.788
S 0.000 3.391 8.703
S 0.934 1.743 3.489
S 0.960 5.023 3.489
S 2.936 1.695 0.872
S 1.977 0.063 6.087
S 2.003 3.343 6.087
S 4.830 1.680 6.087
S -1.894 3.406 3.489
```

Summary:
* energy: -4.800 eV/atom
* raw formation energy: -3.4 eV per formula unit
* magnetic moment: 0.00 μB per cell

---

Density functional theory data (GGA-PBE) for a relaxed structure of KP2RuSe8.

Geometry as extended XYZ:
```
12
Lattice="6.147 0.000 0.000 -3.074 5.324 0.000 0.000 0.000 10.153" Properties=species:S:1:pos:R:3 pbc="T T T"
K 0.000 0.000 0.000
P 3.074 1.775 3.015
P 0.000 3.549 7.138
Ru 0.000 0.000 5.076
Se 0.000 3.549 9.304
Se 0.880 1.862 3.674
Se 1.021 5.154 3.674
Se 3.074 1.775 0.849
Se 2.053 0.169 6.479
Se 2.194 3.462 6.479
Se 4.974 1.693 6.479
Se -1.901 3.631 3.674
```

Summary:
* energy: -4.286 eV/atom
* raw formation energy: -2.4 eV per formula unit
* magnetic moment: 0.94 μB per cell

---

Density functional theory data (GGA-PBE) for a relaxed structure of K3P5RuSe10.

Geometry as extended XYZ:
```
38
Lattice="-5.411 4.998 0.779 -3.859 -5.598 9.109 7.359 6.713 8.041" Properties=species:S:1:pos:R:3 pbc="T T T"
K -0.637 -0.120 13.950
K -1.275 6.233 3.979
K -1.174 1.218 1.639
K 1.331 2.701 9.523
K -0.738 4.894 16.290
K -3.243 3.412 8.406
P -0.765 6.171 7.918
P 2.098 6.091 12.115
P -4.009 0.022 5.814
P -2.661 -1.735 10.252
P -1.147 -0.058 10.011
P 0.750 7.848 7.677
P 2.802 3.538 14.369
P -0.391 8.390 12.474
P -1.520 -2.277 5.455
P -4.714 2.574 3.560
Ru -3.021 -1.623 7.036
Ru 1.109 7.736 10.893
Se 1.645 2.101 15.547
Se -2.900 2.800 14.712
Se 3.652 5.028 10.714
Se -2.694 6.899 7.228
Se -4.475 -1.041 9.140
Se 0.987 4.406 13.151
Se 3.593 1.999 12.776
Se -0.023 4.432 6.843
Se 0.988 3.313 3.217
Se -2.898 1.707 4.778
Se -5.564 1.084 7.215
Se 2.563 7.154 8.789
Se -1.244 0.188 7.763
Se 0.115 9.416 9.142
Se -1.889 1.680 11.086
Se -5.504 4.114 5.153
Se -3.556 4.011 2.382
Se -2.026 -3.303 8.787
Se 0.782 -0.786 10.701
Se -0.668 5.925 10.166
```

Summary:
* energy: -4.452 eV/atom
* raw formation energy: -10.1 eV per formula unit
* magnetic moment: 0.00 μB per cell

---

Density functional theory data (GGA-PBE) for a relaxed structure of KTlPRu.

Geometry as extended XYZ:
```
8
Lattice="-3.188 2.652 0.382 -0.938 -0.548 -4.020 -7.623 -9.607 3.089" Properties=species:S:1:pos:R:3 pbc="T T T"
K -4.842 -0.624 -2.020
K -6.907 -6.879 1.472
Tl -5.312 -4.552 -1.375
Tl -6.437 -2.951 0.826
P -10.070 -7.213 0.099
P -1.679 -0.290 -0.647
Ru -2.625 1.852 -0.718
Ru -1.501 0.252 -2.919
```

Summary:
* energy: -4.910 eV/atom
* formation energy from the elements: -373 meV per atom
* magnetic moment: 0.00 μB per cell